[1]
An optimized crystal structure of Tb4Dy2N, computed with PBE.

Results
magnetization	0.00	μB per cell
N(E_F)	7.99	states/eV/f.u.
energy relative to the elements, uncorrected	-1.79	eV per formula unit
E_tot	-5.41	eV/atom
space group	No. 139
density	8.0	g/cm3

abc: 4.8130 4.8130 9.4106
angles: 75.18 75.18 90.00
Fractional positions:
N1 0.0000 0.0000 0.0000
Tb1 0.8665 0.8665 0.2669
Tb2 0.1335 0.1335 0.7331
Tb3 0.0000 0.5000 0.0000
Tb4 0.5000 0.0000 0.0000
Dy1 0.6680 0.6680 0.6640
Dy2 0.3320 0.3320 0.3360

=====

[2]
An optimized crystal structure of TbDy2TcN4, computed with PBE.

Results
magnetization	0.00	μB per cell
N(E_F)	1.60	states/eV/f.u.
energy relative to the elements, uncorrected	-8.73	eV per formula unit
E_tot	-8.28	eV/atom
space group	No. 63
density	9.2	g/cm3

abc: 3.4149 6.0478 11.5966
angles: 90.00 90.00 106.40
Fractional positions:
Tb1 0.1312 0.2625 0.7500
Tb2 0.8688 0.7375 0.2500
Dy1 0.3684 0.7368 0.5396
Dy2 0.6316 0.2632 0.0396
Dy3 0.6316 0.2632 0.4604
Dy4 0.3684 0.7368 0.9604
Tc1 0.8655 0.7310 0.7500
Tc2 0.1345 0.2690 0.2500
N1 0.2645 0.5289 0.1307
N2 0.7355 0.4711 0.6307
N3 0.7355 0.4711 0.8693
N4 0.2645 0.5289 0.3693
N5 0.0000 0.0000 0.5000
N6 0.0000 0.0000 0.0000
N7 0.4490 0.8980 0.7500
N8 0.5510 0.1020 0.2500

=====

[3]
An optimized crystal structure of TbDyThN3, computed with PBE.

Results
magnetization	0.68	μB per cell
N(E_F)	2.32	states/eV/f.u.
energy relative to the elements, uncorrected	-8.78	eV per formula unit
E_tot	-8.40	eV/atom
space group	No. 11
density	10.4	g/cm3

abc: 3.4997 6.0681 9.1567
angles: 102.29 90.00 90.00
Each line ends with the local moment (μB).
Fractional positions:
Tb1 0.2500 0.1411 0.6395  0.13
Tb2 0.7500 0.8589 0.3605  0.13
Dy1 0.2500 0.7715 0.0467  0.05
Dy2 0.7500 0.2285 0.9533  0.05
Th1 0.7500 0.6545 0.6949  0.07
Th2 0.2500 0.3455 0.3051  0.07
N1 0.2500 0.7330 0.5024  -0.01
N2 0.7500 0.0451 0.1562  -0.01
N3 0.7500 0.5392 0.1699  0.00
N4 0.7500 0.2670 0.4976  -0.01
N5 0.2500 0.4608 0.8301  0.00
N6 0.2500 0.9549 0.8438  -0.01

=====

[4]
An optimized crystal structure of TbDy2TmN4, computed with PBE.

Results
magnetization	0.00	μB per cell
N(E_F)	0.22	states/eV/f.u.
energy relative to the elements, uncorrected	-13.77	eV per formula unit
E_tot	-8.17	eV/atom
space group	No. 10
density	10.0	g/cm3

abc: 3.4632 5.9965 5.9962
angles: 109.45 90.00 90.00
Fractional positions:
Tb1 0.5000 0.5000 0.0000
Dy1 0.5000 0.0000 0.5000
Dy2 0.0000 0.5000 0.5000
Tm1 0.0000 0.0000 0.0000
N1 0.5000 0.2467 0.2477
N2 0.5000 0.7533 0.7523
N3 0.0000 0.2476 0.7504
N4 0.0000 0.7524 0.2496

=====

[5]
An optimized crystal structure of TbDy2UN4, computed with PBE.

Results
magnetization	1.47	μB per cell
N(E_F)	4.46	states/eV/f.u.
energy relative to the elements, uncorrected	-12.91	eV per formula unit
E_tot	-8.92	eV/atom
space group	No. 10
density	11.0	g/cm3

abc: 3.4668 5.9927 5.9865
angles: 109.02 90.00 90.00
Each line ends with the local moment (μB).
Fractional positions:
Tb1 0.5000 0.5000 0.0000  0.04
Dy1 0.5000 0.0000 0.5000  0.04
Dy2 0.0000 0.5000 0.5000  0.09
U1 0.0000 0.0000 0.0000  1.28
N1 0.5000 0.2387 0.2402  -0.04
N2 0.5000 0.7613 0.7598  -0.04
N3 0.0000 0.2353 0.7619  -0.03
N4 0.0000 0.7647 0.2381  -0.03

=====

[6]
An optimized crystal structure of Tb2Dy3UN6, computed with PBE.

Results
magnetization	0.70	μB per cell
N(E_F)	4.93	states/eV/f.u.
energy relative to the elements, uncorrected	-20.01	eV per formula unit
E_tot	-8.69	eV/atom
space group	No. 12
density	10.6	g/cm3

abc: 6.0035 6.0035 5.9974
angles: 99.60 99.60 119.98
Each line ends with the local moment (μB).
Fractional positions:
Tb1 0.3336 0.6664 0.0000  0.02
Tb2 0.6664 0.3336 0.0000  0.02
Dy1 0.1675 0.8325 0.5000  0.01
Dy2 0.8325 0.1675 0.5000  0.01
Dy3 0.5000 0.5000 0.5000  0.02
U1 0.0000 0.0000 0.0000  0.64
N1 0.9193 0.6057 0.7582  -0.01
N2 0.7669 0.7669 0.2389  -0.01
N3 0.0807 0.3943 0.2418  -0.01
N4 0.6057 0.9193 0.7582  -0.01
N5 0.2331 0.2331 0.7611  -0.01
N6 0.3943 0.0807 0.2418  -0.01

=====

[7]
An optimized crystal structure of Tb3Dy2UN6, computed with PBE.

Results
magnetization	0.71	μB per cell
N(E_F)	5.03	states/eV/f.u.
energy relative to the elements, uncorrected	-19.97	eV per formula unit
E_tot	-8.69	eV/atom
space group	No. 12
density	10.5	g/cm3

abc: 6.0055 6.0055 6.0102
angles: 99.58 99.58 119.97
Each line ends with the local moment (μB).
Fractional positions:
Tb1 0.1678 0.8322 0.5000  0.02
Tb2 0.8322 0.1678 0.5000  0.02
Tb3 0.5000 0.5000 0.5000  0.02
Dy1 0.3337 0.6663 0.0000  0.02
Dy2 0.6663 0.3337 0.0000  0.02
U1 0.0000 0.0000 0.0000  0.64
N1 0.9205 0.6059 0.7619  -0.01
N2 0.7647 0.7647 0.2359  -0.01
N3 0.0795 0.3941 0.2381  -0.01
N4 0.6059 0.9205 0.7619  -0.01
N5 0.2353 0.2353 0.7641  -0.01
N6 0.3941 0.0795 0.2381  -0.01

=====

[8]
An optimized crystal structure of TbDy2YN4, computed with PBE.

Results
magnetization	0.00	μB per cell
N(E_F)	0.21	states/eV/f.u.
energy relative to the elements, uncorrected	-13.54	eV per formula unit
E_tot	-8.39	eV/atom
space group	No. 10
density	8.8	g/cm3

abc: 3.4815 6.0278 6.0279
angles: 109.45 90.00 90.00
Fractional positions:
Tb1 0.5000 0.5000 0.0000
Dy1 0.5000 0.0000 0.5000
Dy2 0.0000 0.5000 0.5000
Y1 0.0000 0.0000 0.0000
N1 0.5000 0.2500 0.2510
N2 0.5000 0.7500 0.7490
N3 0.0000 0.2493 0.7486
N4 0.0000 0.7507 0.2514